Record 1
Entry from the Alexandria database: an optimized crystal structure of BaSi2Ir (PBE).

Computed properties:
Fermi-level density of states, states/eV/f.u.: 2.75
Crystal system: orthorhombic
Raw total energy, eV per atom: -5.8360
Spin magnetization, μB/f.u.: 0.000

abc: 7.7580 6.2973 6.7451
angles: 90.00 90.00 90.00
With the nearest neighbours (Å) after each atom.
Space group Pnma (No. 62)
Inequivalent atoms, fractional coordinates:
1 Ba 0.0127 0.2500 0.1262 (multiplicity 4)  8 Si 3.12-3.40, 2 Ir 3.20-3.48
2 Si 0.1494 0.0694 0.5739 (multiplicity 8)  1 Si 2.27, 1 Ir 2.49
3 Ir 0.1492 0.7500 0.3553 (multiplicity 4)  6 Si 2.49-2.71



Record 2
Entry from the Alexandria database: an optimized crystal structure of BaSi2Ir (PBE).

Computed properties:
Fermi-level density of states, states/eV/f.u.: 2.37
Crystal system: orthorhombic
Raw total energy, eV per atom: -5.5798
Spin magnetization, μB/f.u.: 0.000

abc: 3.1555 4.2060 6.5988
angles: 90.00 90.00 90.00
With the nearest neighbours (Å) after each atom.
Space group Pmmm (No. 47)
Inequivalent atoms, fractional coordinates:
1 Ba 0.0000 0.0000 0.0000 (multiplicity 1)  2 Ba 3.16, 8 Si 3.36
2 Si 0.5000 0.5000 0.3174 (multiplicity 2)  1 Si 2.41, 2 Ir 2.42
3 Ir 0.5000 0.0000 0.5000 (multiplicity 1)  4 Si 2.42



Question: Look up the spin magnetization of the first one.
Answer: 0.000 μB/f.u.



Question: The lowest Fermi-level density of states belongs to which entry?
Answer: number 2



Question: What is the Fermi-level density of states in the second record?
Answer: 2.37 states/eV/f.u.



Question: What is the formula in the second record?
Answer: BaSi2Ir